# 1
First-principles (PBE-GGA) data for a relaxed In8Ag crystal, as listed in Alexandria.

As for the formation energy: 39 meV/atom.

The space group is I4/mmm (No. 139) and the conventional cell measures 10.0879, 10.0879 and 4.5603 Å, with angles of 90.00, 90.00 and 90.00 degrees. Symmetry generates all atoms from In at (0.0000, 0.3274, 0.0000), In at (0.1600, 0.1600, 0.5000) and Ag at (0.0000, 0.0000, 0.0000).

# 2
First-principles (PBE-GGA) data for a relaxed Li2HW crystal, as listed in Alexandria.

The energy comes out at -4.35 eV/atom.

The space group is I4_1/amd (No. 141, origin choice 2) and the conventional cell measures 4.9245, 4.9245 and 6.9303 Å, with angles of 90.00, 90.00 and 90.00 degrees. Symmetry generates all atoms from Li at (0.0000, 0.0000, 0.0000), H at (0.0000, 0.2500, 0.8750) and W at (0.0000, 0.2500, 0.3750).

# 3
First-principles (PBE-GGA) data for a relaxed La2SnRh crystal, as listed in Alexandria.

As for the formation energy: -703 meV/atom.

The space group is P4/mmm (No. 123) and the conventional cell measures 3.5974, 3.5974 and 8.2977 Å, with angles of 90.00, 90.00 and 90.00 degrees. Symmetry generates all atoms from La at (0.0000, 0.0000, 0.2114), Sn at (0.5000, 0.5000, 0.5000) and Rh at (0.5000, 0.5000, 0.0000).

# 4
First-principles (PBE-GGA) data for a relaxed Cs3In3Sn2 crystal, as listed in Alexandria.

As for the formation energy: -167 meV/atom.

The space group is Cmcm (No. 63) and the conventional cell measures 5.0954, 14.8353 and 18.1267 Å, with angles of 90.00, 90.00 and 90.00 degrees. Symmetry generates all atoms from Cs at (0.0000, 0.0577, 0.1042), Cs at (0.0000, 0.3815, 0.2500), In at (0.0000, 0.3280, 0.7500), In at (0.0000, 0.3363, 0.0344) and Sn at (0.0000, 0.2280, 0.6070).